Material: Cs8Hg
Method: DFT, PBE
State: optimized geometry

Computed properties:
The calculation puts the energy of formation from the pure elements at -0.02 eV per atom. The space group is No. 139. The crystal system is tetragonal. For the total energy, the calculation gives -0.81 eV/atom. The value obtained for the total moment is 0.00 μB per cell.

```
data_Cs8Hg
_symmetry_space_group_name_H-M 'P 1'
_symmetry_Int_Tables_number 1
_cell_length_a 5.6371
_cell_length_b 12.9473
_cell_length_c 12.9473
_cell_angle_alpha 87.28
_cell_angle_beta 77.43
_cell_angle_gamma 77.43
loop_
_symmetry_equiv_pos_as_xyz
'x,y,z'
loop_
_atom_site_label
_atom_site_fract_x
_atom_site_fract_y
_atom_site_fract_z
Cs1 0.6672 0.3328 0.3328
Cs2 0.6377 0.0000 0.7245
Cs3 0.6377 0.7245 0.0000
Cs4 0.0000 0.3328 0.6672
Cs5 0.3623 0.2755 0.0000
Cs6 0.3623 0.0000 0.2755
Cs7 0.0000 0.6672 0.3328
Cs8 0.3328 0.6672 0.6672
Hg1 0.0000 0.0000 0.0000
```